A plane-wave DFT calculation with PBE-GGA was carried out for a geometry-optimized La4Tl2N structure.

- ρ: 7.6 g cm⁻³
- Total magnetization: 0.0 μB per cell
- Relative energy among the computed polymorphs: 0 meV per atom
- Space-group type: I4/mmm

```
La4Tl2N
1.0
5.075 0.000 0.000
0.000 5.075 0.000
2.538 2.538 8.294
La N Tl
4 1 2
Direct
0.500 0.000 0.000
0.836 0.836 0.327
0.000 0.500 0.000
0.164 0.164 0.673
0.000 0.000 0.000
0.362 0.362 0.277
0.638 0.638 0.723
```